ZrNi2As, single point on PBEsol structure, DFT meta-GGA SCAN; ΔH_f (0 K) = -0.46 eV per atom; spin magnetization = 0.00 μB per formula unit; volume = 56.0 Å³/f.u.; Fermi-level density of states = 0.592 states/eV/atom
1.0
3.820 0.000 0.000
0.000 3.820 0.000
0.000 0.000 3.839
Zr Ni As
1 2 1
direct
0.000 0.000 0.000
0.000 0.500 0.500
0.500 0.000 0.500
0.500 0.500 0.000